Arrangement one

Compound: TmTcSn2
Source: Alexandria
Functional: PBE-GGA
Structure: optimized geometry

Lattice parameters (Å, degrees): 4.5741 4.5741 14.4297 90.00 90.00 120.00
Space group R-3m (No. 166, hexagonal axes)
Inequivalent atoms, fractional coordinates:
Tm (0.0000, 0.0000, 0.0000)
Tc (0.0000, 0.0000, 0.5000)
Sn (0.0000, 0.0000, 0.2298)

***

Arrangement two

Compound: TmTcSn2
Source: Alexandria
Functional: PBE-GGA
Structure: optimized geometry

Lattice parameters (Å, degrees): 3.380 3.380 7.409 90.00 90.00 90.00
Space group P4/mmm (No. 123)
Inequivalent atoms, fractional coordinates:
Tm (0.000, 0.000, 0.000)
Tc (0.000, 0.000, 0.500)
Sn (0.500, 0.500, 0.292)

***

Going by the energies, arrangement two is most stable and the next is 8 meV per atom up.

***

Arrangement one

Compound: UTc2Sn
Source: Alexandria
Functional: PBE-GGA
Structure: optimized geometry

Lattice parameters (Å, degrees): 3.3468 3.3468 23.9034 90.00 90.00 120.00
Space group R-3m (No. 166, hexagonal axes)
Inequivalent atoms, fractional coordinates:
U (0.0000, 0.0000, 0.0000)
Tc (0.0000, 0.0000, 0.2614)
Sn (0.0000, 0.0000, 0.5000)

***

Arrangement two

Compound: UTc2Sn
Source: Alexandria
Functional: PBE-GGA
Structure: optimized geometry

Lattice parameters (Å, degrees): 6.651 6.651 6.651 90.00 90.00 90.00
Space group Fm-3m (No. 225)
Inequivalent atoms, fractional coordinates:
U (0.000, 0.000, 0.000)
Tc (0.250, 0.250, 0.250)
Sn (0.000, 0.000, 0.500)

***

Arrangement three

Compound: UTc2Sn
Source: Alexandria
Functional: PBE-GGA
Structure: optimized geometry

Lattice parameters (Å, degrees): 4.511 4.511 3.537 90.00 90.00 90.00
Space group P4/mmm (No. 123)
Inequivalent atoms, fractional coordinates:
U (0.000, 0.000, 0.000)
Tc (0.000, 0.500, 0.500)
Sn (0.500, 0.500, 0.000)

***

Going by the energies, arrangement three is most stable and the next is 106 meV per atom up.